(1)
# Y2CdBi2, optimized geometry, DFT PBE
# - Energy relative to the lowest polymorph listed for this composition: 0.281 eV/atom
# - D(E_F): 6.67 states/eV/cell
# - Magnetization: 0.000 Bohr magnetons per cell
# - Final energy: -4.584 eV per atom
data_Y2CdBi2
_cell_length_a 5.523
_cell_length_b 5.523
_cell_length_c 12.086
_cell_angle_alpha 90.00
_cell_angle_beta 90.00
_cell_angle_gamma 90.00
_symmetry_space_group_name_H-M 'I 4/m m m'
_symmetry_Int_Tables_number 139
_symmetry_space_group_name_Hall '-I 4 2'
loop_
_atom_site_label
_atom_site_fract_x
_atom_site_fract_y
_atom_site_fract_z
_atom_site_occupancy
Y1 0.000 0.500 0.250 1
Cd1 0.000 0.000 0.000 1
Bi1 0.000 0.000 0.367 1



(2)
# YCd2Bi2, optimized geometry, DFT PBE
# - Energy relative to the lowest polymorph listed for this composition: 0.098 eV/atom
# - D(E_F): 6.33 states/eV/cell
# - Magnetization: 0.000 Bohr magnetons per cell
# - Final energy: -3.323 eV per atom
data_YCd2Bi2
_cell_length_a 8.329
_cell_length_b 8.329
_cell_length_c 4.178
_cell_angle_alpha 90.00
_cell_angle_beta 90.00
_cell_angle_gamma 90.00
_symmetry_space_group_name_H-M 'P 4/m b m'
_symmetry_Int_Tables_number 127
_symmetry_space_group_name_Hall '-P 4 2ab'
loop_
_atom_site_label
_atom_site_fract_x
_atom_site_fract_y
_atom_site_fract_z
_atom_site_occupancy
Y1 0.000 0.000 0.000 1
Cd1 0.151 0.349 0.500 1
Bi1 0.152 0.652 0.000 1



(3)
# YCd2Bi2, optimized geometry, DFT PBE
# - Energy relative to the lowest polymorph listed for this composition: 0.060 eV/atom
# - D(E_F): 6.03 states/eV/cell
# - Magnetization: 0.000 Bohr magnetons per cell
# - Final energy: -3.361 eV per atom
data_YCd2Bi2
_cell_length_a 8.260
_cell_length_b 8.260
_cell_length_c 4.098
_cell_angle_alpha 90.00
_cell_angle_beta 90.00
_cell_angle_gamma 90.00
_symmetry_space_group_name_H-M 'P 4/m b m'
_symmetry_Int_Tables_number 127
_symmetry_space_group_name_Hall '-P 4 2ab'
loop_
_atom_site_label
_atom_site_fract_x
_atom_site_fract_y
_atom_site_fract_z
_atom_site_occupancy
Y1 0.000 0.000 0.000 1
Cd1 0.121 0.379 0.000 1
Bi1 0.181 0.681 0.500 1



(4)
# ZnCd2Bi, optimized geometry, DFT PBE
# - Energy relative to the lowest polymorph listed for this composition: 0.035 eV/atom
# - D(E_F): 10.01 states/eV/cell
# - Magnetization: 0.000 Bohr magnetons per cell
# - Final energy: -1.598 eV per atom
data_ZnCd2Bi
_cell_length_a 7.349
_cell_length_b 7.349
_cell_length_c 7.349
_cell_angle_alpha 90.00
_cell_angle_beta 90.00
_cell_angle_gamma 90.00
_symmetry_space_group_name_H-M 'F m -3 m'
_symmetry_Int_Tables_number 225
_symmetry_space_group_name_Hall '-F 4 2 3'
loop_
_atom_site_label
_atom_site_fract_x
_atom_site_fract_y
_atom_site_fract_z
_atom_site_occupancy
Zn1 0.000 0.000 0.000 1
Cd1 0.250 0.250 0.250 1
Bi1 0.000 0.000 0.500 1



(5)
# Zn2Cd2Bi, optimized geometry, DFT PBE
# - Energy relative to the lowest polymorph listed for this composition: 0.006 eV/atom
# - D(E_F): 3.22 states/eV/cell
# - Magnetization: 0.000 Bohr magnetons per cell
# - Final energy: -1.534 eV per atom
data_Zn2Cd2Bi
_cell_length_a 4.197
_cell_length_b 4.197
_cell_length_c 12.731
_cell_angle_alpha 90.00
_cell_angle_beta 90.00
_cell_angle_gamma 90.00
_symmetry_space_group_name_H-M 'I 4/m m m'
_symmetry_Int_Tables_number 139
_symmetry_space_group_name_Hall '-I 4 2'
loop_
_atom_site_label
_atom_site_fract_x
_atom_site_fract_y
_atom_site_fract_z
_atom_site_occupancy
Zn1 0.000 0.000 0.098 1
Cd1 0.000 0.500 0.250 1
Bi1 0.000 0.000 0.500 1



(6)
# ZnCd2Bi, optimized geometry, DFT PBE
# - Energy relative to the lowest polymorph listed for this composition: 0.000 eV/atom
# - D(E_F): 6.05 states/eV/cell
# - Magnetization: 0.000 Bohr magnetons per cell
# - Final energy: -1.633 eV per atom
data_ZnCd2Bi
_cell_length_a 4.6147
_cell_length_b 4.6147
_cell_length_c 16.5285
_cell_angle_alpha 90.00
_cell_angle_beta 90.00
_cell_angle_gamma 120.00
_symmetry_space_group_name_H-M 'R 3 m'
_symmetry_Int_Tables_number 160
_symmetry_space_group_name_Hall 'R 3 -2"'
loop_
_atom_site_label
_atom_site_fract_x
_atom_site_fract_y
_atom_site_fract_z
_atom_site_occupancy
Zn1 0.0000 0.0000 0.0000 1
Cd1 0.0000 0.0000 0.3875 1
Cd2 0.0000 0.0000 0.5994 1
Bi1 0.0000 0.0000 0.8231 1



(7)
# ZnCd3Bi, optimized geometry, DFT PBE
# - Energy relative to the lowest polymorph listed for this composition: 0.000 eV/atom
# - D(E_F): 3.02 states/eV/cell
# - Magnetization: 0.000 Bohr magnetons per cell
# - Final energy: -1.280 eV per atom
data_ZnCd3Bi
_cell_length_a 5.136
_cell_length_b 5.136
_cell_length_c 5.136
_cell_angle_alpha 90.00
_cell_angle_beta 90.00
_cell_angle_gamma 90.00
_symmetry_space_group_name_H-M 'P m -3 m'
_symmetry_Int_Tables_number 221
_symmetry_space_group_name_Hall '-P 4 2 3'
loop_
_atom_site_label
_atom_site_fract_x
_atom_site_fract_y
_atom_site_fract_z
_atom_site_occupancy
Zn1 0.000 0.000 0.000 1
Cd1 0.000 0.000 0.500 1
Bi1 0.500 0.500 0.500 1



(8)
# Zn5Cd12Bi3, optimized geometry, DFT PBE
# - D(E_F): 80.39 states/eV/cell
# - Magnetization: 0.000 Bohr magnetons per cell
# - Final energy: -1.229 eV per atom
data_Zn5Cd12Bi3
_cell_length_a 16.718
_cell_length_b 16.718
_cell_length_c 16.718
_cell_angle_alpha 90.00
_cell_angle_beta 90.00
_cell_angle_gamma 90.00
_symmetry_space_group_name_H-M 'I a -3 d'
_symmetry_Int_Tables_number 230
_symmetry_space_group_name_Hall '-I 4bd 2c 3'
loop_
_atom_site_label
_atom_site_fract_x
_atom_site_fract_y
_atom_site_fract_z
_atom_site_occupancy
Zn1 0.000 0.000 0.000 1
Zn2 0.000 0.250 0.375 1
Cd1 0.025 0.070 0.646 1
Bi1 0.000 0.250 0.125 1



(9)
# ZnCd2Bi, optimized geometry, DFT PBE
# - Energy relative to the lowest polymorph listed for this composition: 0.015 eV/atom
# - D(E_F): 6.92 states/eV/cell
# - Magnetization: 0.000 Bohr magnetons per cell
# - Final energy: -1.617 eV per atom
data_ZnCd2Bi
_cell_length_a 4.748
_cell_length_b 4.748
_cell_length_c 18.720
_cell_angle_alpha 90.00
_cell_angle_beta 90.00
_cell_angle_gamma 90.00
_symmetry_space_group_name_H-M 'I -4 2 d'
_symmetry_Int_Tables_number 122
_symmetry_space_group_name_Hall 'I -4 2bw'
loop_
_atom_site_label
_atom_site_fract_x
_atom_site_fract_y
_atom_site_fract_z
_atom_site_occupancy
Zn1 0.000 0.000 0.000 1
Cd1 0.184 0.250 0.125 1
Bi1 0.000 0.000 0.500 1



(10)
# Zn3CdBi, optimized geometry, DFT PBE
# - Energy relative to the lowest polymorph listed for this composition: 0.000 eV/atom
# - D(E_F): 3.00 states/eV/cell
# - Magnetization: 0.000 Bohr magnetons per cell
# - Final energy: -1.208 eV per atom
data_Zn3CdBi
_cell_length_a 5.041
_cell_length_b 5.041
_cell_length_c 5.041
_cell_angle_alpha 90.00
_cell_angle_beta 90.00
_cell_angle_gamma 90.00
_symmetry_space_group_name_H-M 'P m -3 m'
_symmetry_Int_Tables_number 221
_symmetry_space_group_name_Hall '-P 4 2 3'
loop_
_atom_site_label
_atom_site_fract_x
_atom_site_fract_y
_atom_site_fract_z
_atom_site_occupancy
Zn1 0.000 0.000 0.500 1
Cd1 0.000 0.000 0.000 1
Bi1 0.500 0.500 0.500 1



(11)
# Zn2Cd2Bi, optimized geometry, DFT PBE
# - Energy relative to the lowest polymorph listed for this composition: 0.016 eV/atom
# - D(E_F): 3.51 states/eV/cell
# - Magnetization: 0.000 Bohr magnetons per cell
# - Final energy: -1.524 eV per atom
data_Zn2Cd2Bi
_cell_length_a 4.099
_cell_length_b 4.099
_cell_length_c 13.580
_cell_angle_alpha 90.00
_cell_angle_beta 90.00
_cell_angle_gamma 90.00
_symmetry_space_group_name_H-M 'I 4/m m m'
_symmetry_Int_Tables_number 139
_symmetry_space_group_name_Hall '-I 4 2'
loop_
_atom_site_label
_atom_site_fract_x
_atom_site_fract_y
_atom_site_fract_z
_atom_site_occupancy
Zn1 0.000 0.500 0.250 1
Cd1 0.000 0.000 0.108 1
Bi1 0.000 0.000 0.500 1



(12)
# ZnCd2Bi2, optimized geometry, DFT PBE
# - Energy relative to the lowest polymorph listed for this composition: 0.018 eV/atom
# - D(E_F): 4.75 states/eV/cell
# - Magnetization: 0.000 Bohr magnetons per cell
# - Final energy: -1.972 eV per atom
data_ZnCd2Bi2
_cell_length_a 4.200
_cell_length_b 4.200
_cell_length_c 15.950
_cell_angle_alpha 90.00
_cell_angle_beta 90.00
_cell_angle_gamma 90.00
_symmetry_space_group_name_H-M 'I 4/m m m'
_symmetry_Int_Tables_number 139
_symmetry_space_group_name_Hall '-I 4 2'
loop_
_atom_site_label
_atom_site_fract_x
_atom_site_fract_y
_atom_site_fract_z
_atom_site_occupancy
Zn1 0.000 0.000 0.000 1
Cd1 0.000 0.500 0.250 1
Bi1 0.000 0.000 0.395 1



Repeat the first record exactly.
# Y2CdBi2, optimized geometry, DFT PBE
# - Energy relative to the lowest polymorph listed for this composition: 0.281 eV/atom
# - D(E_F): 6.67 states/eV/cell
# - Magnetization: 0.000 Bohr magnetons per cell
# - Final energy: -4.584 eV per atom
data_Y2CdBi2
_cell_length_a 5.523
_cell_length_b 5.523
_cell_length_c 12.086
_cell_angle_alpha 90.00
_cell_angle_beta 90.00
_cell_angle_gamma 90.00
_symmetry_space_group_name_H-M 'I 4/m m m'
_symmetry_Int_Tables_number 139
_symmetry_space_group_name_Hall '-I 4 2'
loop_
_atom_site_label
_atom_site_fract_x
_atom_site_fract_y
_atom_site_fract_z
_atom_site_occupancy
Y1 0.000 0.500 0.250 1
Cd1 0.000 0.000 0.000 1
Bi1 0.000 0.000 0.367 1